(1)
Below is a geometry-optimized SrFe3Si structure, with properties calculated at the PBE level.

Cell lengths 4.5178, 4.5178, 4.5178 Å; angles 90.00, 90.00, 90.00 degrees
Last column: nearest neighbours and their distance in Å.
Space group Pm-3m (No. 221)
One atom of each set of equivalent atoms:
Sr: 0.0000 0.0000 0.0000 (multiplicity 1)  12 Fe 3.19
Fe: 0.0000 0.5000 0.5000 (multiplicity 3)  2 Si 2.26
Si: 0.5000 0.5000 0.5000 (multiplicity 1)  6 Fe 2.26

energy relative to the elements, uncorrected	43.6	kJ per mole of atoms
crystal system	cubic
ρ	5.10	g/cm3
offset from the most stable computed form	0.0	meV per atom
density of states at the Fermi level	8.32	states/eV per cell

(2)
Below is a geometry-optimized SrFe2Si structure, with properties calculated at the PBE level.

Cell lengths 3.1220, 3.1220, 7.1616 Å; angles 90.00, 90.00, 90.00 degrees
Last column: nearest neighbours and their distance in Å.
Space group P4mm (No. 99)
One atom of each set of equivalent atoms:
Sr: 0.0000 0.0000 0.0000 (multiplicity 1)  4 Sr 3.12, 4 Si 3.21, 4 Fe 3.29
Fe: 0.0000 0.0000 0.5034 (multiplicity 1)  4 Fe 2.50, 4 Si 2.53
Fe: 0.5000 0.5000 0.3403 (multiplicity 1)  1 Si 2.40, 4 Fe 2.50
Si: 0.5000 0.5000 0.6749 (multiplicity 1)  5 Fe 2.40-2.53

energy relative to the elements, uncorrected	16.3	kJ per mole of atoms
crystal system	tetragonal
ρ	5.41	g/cm3
density of states at the Fermi level	3.59	states/eV per cell